The following is a GGA+U calculation of a relaxed PaVPtO6 crystal, from the Alexandria database.

Summary:
Total magnetization (μB/cell): 3.982
DFT total energy (eV/cell): -141.256

abc: 5.3864 5.3864 8.6840
angles: 90.00 90.00 120.00
Closest atoms and distances in Å follow each position.
Space group P-31c (No. 163)
Unique sites:
Pa (0.3333, 0.6667, 0.2500)  6 O 2.18
V (0.3333, 0.6667, 0.7500)  6 O 2.05
Pt (0.0000, 0.0000, 0.0000)  6 O 2.08
O (0.0188, 0.3379, 0.6245)  1 V 2.05, 1 Pt 2.08, 1 Pa 2.18